# PBE GaFeIrOs, optimized geometry
# Total moment = 0.99 μB/atom
# Electronic total energy = -31.74 eV per formula unit
# SG = F-43m (216)
# E_form = -0.04 eV per atom
data_GaFeIrOs
_chemical_formula_sum 'Ga1 Fe1 Ir1 Os1'
_symmetry_space_group_name_H-M 'P 1'
_symmetry_Int_Tables_number 1
_symmetry_space_group_name_Hall 'P 1'
_cell_length_a 4.2795
_cell_length_b 4.2795
_cell_length_c 4.2795
_cell_angle_alpha 60.00
_cell_angle_beta 60.00
_cell_angle_gamma 60.00
loop_
_atom_site_label
_atom_site_type_symbol
_atom_site_fract_x
_atom_site_fract_y
_atom_site_fract_z
_atom_site_occupancy
Ga1 Ga 0.0000 0.0000 0.0000 1
Fe1 Fe 0.5000 0.5000 0.5000 1
Ir1 Ir 0.7500 0.7500 0.7500 1
Os1 Os 0.2500 0.2500 0.2500 1

# PBE GaFeIrPd, optimized geometry
# Total moment = 0.84 μB/atom
# Electronic total energy = -26.60 eV per formula unit
# SG = F-43m (216)
# E_form = -0.26 eV per atom
data_GaFeIrPd
_chemical_formula_sum 'Ga1 Fe1 Ir1 Pd1'
_symmetry_space_group_name_H-M 'P 1'
_symmetry_Int_Tables_number 1
_symmetry_space_group_name_Hall 'P 1'
_cell_length_a 4.3138
_cell_length_b 4.3138
_cell_length_c 4.3138
_cell_angle_alpha 60.00
_cell_angle_beta 60.00
_cell_angle_gamma 60.00
loop_
_atom_site_label
_atom_site_type_symbol
_atom_site_fract_x
_atom_site_fract_y
_atom_site_fract_z
_atom_site_occupancy
Ga1 Ga 0.0000 0.0000 0.0000 1
Fe1 Fe 0.5000 0.5000 0.5000 1
Ir1 Ir 0.7500 0.7500 0.7500 1
Pd1 Pd 0.2500 0.2500 0.2500 1

# PBE Pr2Ga3FeIr4, optimized geometry
# Total moment = 0.32 μB/atom
# Electronic total energy = -68.33 eV per formula unit
# SG = P-4m2 (115)
# E_form = -0.58 eV per atom
data_Pr2Ga3FeIr4
_chemical_formula_sum 'Pr2 Ga3 Fe1 Ir4'
_symmetry_space_group_name_H-M 'P 1'
_symmetry_Int_Tables_number 1
_symmetry_space_group_name_Hall 'P 1'
_cell_length_a 4.2542
_cell_length_b 4.2542
_cell_length_c 10.3787
_cell_angle_alpha 90.00
_cell_angle_beta 90.00
_cell_angle_gamma 90.00
loop_
_atom_site_label
_atom_site_type_symbol
_atom_site_fract_x
_atom_site_fract_y
_atom_site_fract_z
_atom_site_occupancy
Pr1 Pr 0.0000 0.5000 0.2453 1
Pr2 Pr 0.5000 0.0000 0.7547 1
Ga1 Ga 0.0000 0.5000 0.8723 1
Ga2 Ga 0.5000 0.0000 0.1277 1
Ga3 Ga 0.5000 0.5000 0.5000 1
Fe1 Fe 0.0000 0.0000 0.5000 1
Ir1 Ir 0.0000 0.0000 0.0000 1
Ir2 Ir 0.0000 0.5000 0.6309 1
Ir3 Ir 0.5000 0.0000 0.3691 1
Ir4 Ir 0.5000 0.5000 0.0000 1